(A)
CaPH: optimized geometry, PBE.

a = 3.5434 Å, b = 7.5595 Å, c = 7.5435 Å
α = 90.00°, β = 90.00°, γ = 90.00°
Closest atoms and distances in Å follow each position.
Space group Cmcm (No. 63)
Unique sites:
Ca  0.0000  0.0000  0.0000  2 H 2.34
P  0.0000  0.3048  0.2500  2 H 1.77
H  0.0000  0.1836  0.7500  2 P 1.77

(B)
CaPH: optimized geometry, PBE.

a = 4.1230 Å, b = 4.1230 Å, c = 6.7513 Å
α = 90.00°, β = 90.00°, γ = 90.00°
Closest atoms and distances in Å follow each position.
Space group I4mm (No. 107)
Unique sites:
Ca  0.0000  0.0000  0.0000  1 H 2.44
P  0.0000  0.0000  0.5734  1 H 1.43
H  0.0000  0.0000  0.3611  1 P 1.43

Which of them is the most stable? Correct choice: (B).

(A)
CaPH: optimized geometry, PBE.

a = 6.1594 Å, b = 5.8953 Å, c = 6.1341 Å
α = 90.00°, β = 97.96°, γ = 90.00°
Closest atoms and distances in Å follow each position.
Space group C2/m (No. 12)
Unique sites:
Ca  0.2463  0.0000  0.2419  2 H 2.44-2.49
P  0.2171  0.5000  0.2318  1 H 1.44
H  0.1015  0.0000  0.5934  1 P 1.44, 1 H 1.57

(B)
CaPH: optimized geometry, PBE.

a = 6.7195 Å, b = 7.5271 Å, c = 4.2798 Å
α = 90.00°, β = 90.00°, γ = 90.00°
Closest atoms and distances in Å follow each position.
Space group Pnma (No. 62)
Unique sites:
Ca  0.0000  0.0000  0.0000  2 H 2.49
P  0.1577  0.2500  0.4616  1 H 1.46
H  0.0337  0.7500  0.3786  1 P 1.46

Which of them is the most stable? Correct choice: (B).

(A)
CaPH: optimized geometry, PBE.

a = 7.8641 Å, b = 7.4649 Å, c = 4.3028 Å
α = 90.00°, β = 123.13°, γ = 90.00°
Closest atoms and distances in Å follow each position.
Space group C2/m (No. 12)
Unique sites:
Ca  0.0000  0.2302  0.0000  6 P 2.96-2.97, 4 H 2.97-2.98
P  0.1704  0.0000  0.6699  1 P 2.24
H  0.0591  0.5000  0.5581  1 H 0.78

(B)
CaPH: optimized geometry, PBE.

a = 4.0421 Å, b = 4.4269 Å, c = 5.9833 Å
α = 90.00°, β = 97.34°, γ = 90.00°
Closest atoms and distances in Å follow each position.
Space group P2_1/m (No. 11)
Unique sites:
Ca  0.2482  0.2500  0.2484  3 H 2.54-2.59
P  0.2630  0.2500  0.7577  1 H 1.45
H  0.0487  0.7500  0.3927  1 P 1.45

(C)
CaPH: optimized geometry, PBE.

a = 5.9929 Å, b = 5.9208 Å, c = 6.1280 Å
α = 90.00°, β = 90.00°, γ = 90.00°
Closest atoms and distances in Å follow each position.
Space group Pnma (No. 62)
Unique sites:
Ca  0.2391  0.2500  0.0175  2 H 2.35
P  0.2482  0.2500  0.4911  1 H 1.45
H  0.0844  0.2500  0.6645  1 P 1.45

Which of them is the most stable? Correct choice: (B).

(A)
CaP2H: optimized geometry, PBE.

a = 6.5204 Å, b = 6.5204 Å, c = 6.5204 Å
α = 90.00°, β = 90.00°, γ = 90.00°
Closest atoms and distances in Å follow each position.
Space group Fm-3m (No. 225)
Unique sites:
Ca  0.0000  0.0000  0.0000  8 P 2.82
P  0.2500  0.2500  0.2500  4 H 2.82, 4 Ca 2.82
H  0.0000  0.0000  0.5000  8 P 2.82

(B)
CaP2H: optimized geometry, PBE.

a = 4.5332 Å, b = 4.5332 Å, c = 13.6218 Å
α = 90.00°, β = 90.00°, γ = 90.00°
Closest atoms and distances in Å follow each position.
Space group I-42d (No. 122)
Unique sites:
Ca  0.0000  0.0000  0.0000  4 P 2.83
P  0.0680  0.7500  0.6250  2 H 2.07
H  0.0000  0.0000  0.5000  4 P 2.07

Which of them is the most stable? Correct choice: (B).